Entry 1:
This record from Alexandria describes an optimized crystal structure of BaTlCo2. The functional is PBE.

Properties
- Calculated volume: 23.278 A^3/atom
- Total energy: -3.789 eV/atom
- SG: I-4m2, No. 119

Unit cell a=5.533 b=5.533 c=5.533 alpha=131.47 beta=131.47 gamma=71.06
Each line ends with the local moment (μB).
Atoms (fractional coordinates):
Ba1 0.750 0.250 0.500  -0.11
Co1 0.000 0.000 0.000  1.76
Co2 0.250 0.750 0.500  1.64
Tl1 0.500 0.500 0.000  -0.05



Entry 2:
This record from Alexandria describes an optimized crystal structure of BaTlCo. The functional is PBE.

Properties
- Calculated volume: 37.122 A^3/atom
- Total energy: -2.856 eV/atom
- SG: F-43m, No. 216

Unit cell a=5.400 b=5.400 c=5.400 alpha=60.00 beta=60.00 gamma=60.00
Each line ends with the local moment (μB).
Atoms (fractional coordinates):
Ba1 0.750 0.750 0.750  -0.15
Co1 0.000 0.000 0.000  1.76
Tl1 0.500 0.500 0.500  -0.13



Entry 3:
This record from Alexandria describes an optimized crystal structure of BaTlCo2. The functional is PBE.

Properties
- Calculated volume: 23.847 A^3/atom
- Total energy: -3.772 eV/atom
- SG: F-43m, No. 216

Unit cell a=5.129 b=5.129 c=5.129 alpha=60.00 beta=60.00 gamma=60.00
Each line ends with the local moment (μB).
Atoms (fractional coordinates):
Ba1 0.500 0.500 0.500  -0.08
Co1 0.000 0.000 0.000  1.83
Co2 0.250 0.250 0.250  1.83
Tl1 0.750 0.750 0.750  -0.07



Entry 4:
This record from Alexandria describes an optimized crystal structure of BaTm3Co. The functional is PBE.

Properties
- Calculated volume: 30.850 A^3/atom
- Total energy: -4.509 eV/atom
- SG: Pm-3m, No. 221

Unit cell a=5.363 b=5.363 c=5.363 alpha=90.00 beta=90.00 gamma=90.00
Atoms (fractional coordinates):
Tm1 0.000 0.500 0.000
Tm2 0.000 0.000 0.500
Tm3 0.500 0.000 0.000
Co1 0.000 0.000 0.000
Ba1 0.500 0.500 0.500



Entry 5:
This record from Alexandria describes an optimized crystal structure of BaTm2Co. The functional is PBE.

Properties
- Calculated volume: 33.054 A^3/atom
- Total energy: -4.412 eV/atom
- SG: R-3m, No. 166

Unit cell a=3.830 b=3.830 c=10.640 alpha=79.63 beta=79.63 gamma=60.00
Atoms (fractional coordinates):
Tm1 0.122 0.122 0.635
Tm2 0.878 0.878 0.365
Co1 0.500 0.500 0.500
Ba1 0.000 0.000 0.000



Entry 6:
This record from Alexandria describes an optimized crystal structure of Ba2UCo. The functional is PBE.

Properties
- Calculated volume: 32.412 A^3/atom
- Total energy: -4.217 eV/atom
- SG: Fm-3m, No. 225

Unit cell a=5.681 b=5.681 c=5.681 alpha=60.00 beta=60.00 gamma=60.00
Each line ends with the local moment (μB).
Atoms (fractional coordinates):
Ba1 0.750 0.750 0.750  0.07
Ba2 0.250 0.250 0.250  0.07
U1 0.000 0.000 0.000  3.03
Co1 0.500 0.500 0.500  1.47



Entry 7:
This record from Alexandria describes an optimized crystal structure of BaVCo3. The functional is PBE.

Properties
- Calculated volume: 18.106 A^3/atom
- Total energy: -5.718 eV/atom
- SG: Pm-3m, No. 221
- Distance to the lowest polymorph of the same formula: 0.000 eV/f.u.

Unit cell a=4.490 b=4.490 c=4.490 alpha=90.00 beta=90.00 gamma=90.00
Atoms (fractional coordinates):
Co1 0.000 0.500 0.000
Co2 0.000 0.000 0.500
Co3 0.500 0.000 0.000
Ba1 0.500 0.500 0.500
V1 0.000 0.000 0.000



Entry 8:
This record from Alexandria describes an optimized crystal structure of BaVCo3. The functional is PBE.

Properties
- Calculated volume: 21.521 A^3/atom
- Total energy: -4.074 eV/atom
- SG: Pm-3m, No. 221
- Distance to the lowest polymorph of the same formula: 8.220 eV/f.u.

Unit cell a=4.756 b=4.756 c=4.756 alpha=90.00 beta=90.00 gamma=90.00
Each line ends with the local moment (μB).
Atoms (fractional coordinates):
Co1 0.000 0.500 0.000  0.99
Co2 0.000 0.000 0.500  0.99
Co3 0.500 0.000 0.000  0.99
Ba1 0.000 0.000 0.000  -0.10
V1 0.500 0.500 0.500  2.60



Entry 9:
This record from Alexandria describes an optimized crystal structure of BaYV2Co. The functional is PBE.

Properties
- Calculated volume: 22.680 A^3/atom
- Total energy: -6.030 eV/atom
- SG: P4/mmm, No. 123

Unit cell a=4.691 b=5.152 c=4.691 alpha=90.00 beta=90.00 gamma=90.00
Atoms (fractional coordinates):
Y1 0.000 0.500 0.000
Co1 0.000 0.000 0.000
Ba1 0.500 0.500 0.500
V1 0.000 0.000 0.500
V2 0.500 0.000 0.000



Entry 10:
This record from Alexandria describes an optimized crystal structure of BaCo2W. The functional is PBE.

Properties
- Calculated volume: 21.007 A^3/atom
- Total energy: -6.595 eV/atom
- SG: Pm, No. 6
- Distance to the lowest polymorph of the same formula: 0.958 eV/f.u.

Unit cell a=3.688 b=3.477 c=6.775 alpha=75.28 beta=90.00 gamma=90.00
Atoms (fractional coordinates):
Ba1 0.500 0.792 0.788
Co1 0.000 0.145 0.084
Co2 0.500 0.037 0.304
W1 0.000 0.526 0.324



Entry 11:
This record from Alexandria describes an optimized crystal structure of BaCoW. The functional is PBE.

Properties
- Calculated volume: 22.805 A^3/atom
- Total energy: -4.658 eV/atom
- SG: F-43m, No. 216
- Distance to the lowest polymorph of the same formula: 5.739 eV/f.u.

Unit cell a=4.591 b=4.591 c=4.591 alpha=60.00 beta=60.00 gamma=60.00
Each line ends with the local moment (μB).
Atoms (fractional coordinates):
Ba1 0.250 0.250 0.250  -0.06
Co1 0.000 0.000 0.000  0.65
W1 0.500 0.500 0.500  -0.66



Entry 12:
This record from Alexandria describes an optimized crystal structure of Ba2CoW. The functional is PBE.

Properties
- Calculated volume: 34.242 A^3/atom
- Total energy: -5.495 eV/atom
- SG: R3m, No. 160
- Distance to the lowest polymorph of the same formula: 0.000 eV/f.u.

Unit cell a=9.707 b=9.707 c=9.707 alpha=24.38 beta=24.38 gamma=24.38
Atoms (fractional coordinates):
Ba1 0.037 0.037 0.037
Ba2 0.213 0.213 0.213
Co1 0.459 0.459 0.459
W1 0.791 0.791 0.791



Entry 13:
This record from Alexandria describes an optimized crystal structure of Ba2CoW. The functional is PBE.

Properties
- Calculated volume: 28.970 A^3/atom
- Total energy: -5.278 eV/atom
- SG: P4mm, No. 99
- Distance to the lowest polymorph of the same formula: 0.866 eV/f.u.

Unit cell a=3.410 b=3.410 c=9.966 alpha=90.00 beta=90.00 gamma=90.00
Atoms (fractional coordinates):
Ba1 0.000 0.000 0.924
Ba2 0.500 0.500 0.333
Co1 0.000 0.000 0.592
W1 0.500 0.500 0.651



Entry 14:
This record from Alexandria describes an optimized crystal structure of BaCoW2. The functional is PBE.

Properties
- Calculated volume: 23.684 A^3/atom
- Total energy: -7.651 eV/atom
- SG: P2/m, No. 10
- Distance to the lowest polymorph of the same formula: 1.348 eV/f.u.

Unit cell a=4.347 b=3.238 c=6.894 alpha=77.46 beta=90.00 gamma=90.00
Each line ends with the local moment (μB).
Atoms (fractional coordinates):
Ba1 0.500 0.250 0.250  -0.02
Co1 0.500 0.750 0.750  1.32
W1 0.000 0.944 0.887  0.08
W2 0.000 0.556 0.613  0.08



Entry 15:
This record from Alexandria describes an optimized crystal structure of BaCoW2. The functional is PBE.

Properties
- Calculated volume: 20.476 A^3/atom
- Total energy: -7.821 eV/atom
- SG: Pmmm, No. 47
- Distance to the lowest polymorph of the same formula: 0.669 eV/f.u.

Unit cell a=2.911 b=3.544 c=7.940 alpha=90.00 beta=90.00 gamma=90.00
Atoms (fractional coordinates):
Ba1 0.500 0.500 0.250
Co1 0.500 0.500 0.750
W1 0.000 0.000 0.904
W2 0.000 0.000 0.596



Entry 16:
This record from Alexandria describes an optimized crystal structure of BaCoW2. The functional is PBE.

Properties
- Calculated volume: 21.255 A^3/atom
- Total energy: -7.381 eV/atom
- SG: Imm2, No. 44
- Distance to the lowest polymorph of the same formula: 2.427 eV/f.u.

Unit cell a=5.818 b=5.818 c=5.818 alpha=149.46 beta=120.69 gamma=68.18
Each line ends with the local moment (μB).
Atoms (fractional coordinates):
Ba1 0.509 0.509 0.000  -0.01
Co1 0.793 0.293 0.500  0.68
W1 0.994 0.994 0.000  0.01
W2 0.204 0.704 0.500  -0.06



Entry 17:
This record from Alexandria describes an optimized crystal structure of BaCoW2. The functional is PBE.

Properties
- Calculated volume: 19.586 A^3/atom
- Total energy: -7.340 eV/atom
- SG: Pmmm, No. 47
- Distance to the lowest polymorph of the same formula: 2.591 eV/f.u.

Unit cell a=3.106 b=4.609 c=5.472 alpha=90.00 beta=90.00 gamma=90.00
Each line ends with the local moment (μB).
Atoms (fractional coordinates):
Ba1 0.500 0.000 0.500  -0.05
Co1 0.000 0.500 0.500  1.28
W1 0.000 0.000 0.000  0.21
W2 0.500 0.500 0.000  0.02



Entry 18:
This record from Alexandria describes an optimized crystal structure of BaCoW2. The functional is PBE.

Properties
- Calculated volume: 26.386 A^3/atom
- Total energy: -7.368 eV/atom
- SG: I4_1/amd, No. 141
- Distance to the lowest polymorph of the same formula: 2.482 eV/f.u.

Unit cell a=5.064 b=5.064 c=8.977 alpha=73.62 beta=73.62 gamma=90.00
Atoms (fractional coordinates):
Co1 0.500 0.500 0.000
Co2 0.250 0.750 0.500
Ba1 0.000 0.000 0.000
Ba2 0.750 0.250 0.500
W1 0.375 0.125 0.250
W2 0.375 0.625 0.250
W3 0.375 0.625 0.750
W4 0.875 0.625 0.750



Entry 19:
This record from Alexandria describes an optimized crystal structure of BaCo2W. The functional is PBE.

Properties
- Calculated volume: 17.203 A^3/atom
- Total energy: -5.823 eV/atom
- SG: F-43m, No. 216
- Distance to the lowest polymorph of the same formula: 4.046 eV/f.u.

Unit cell a=4.600 b=4.600 c=4.600 alpha=60.00 beta=60.00 gamma=60.00
Each line ends with the local moment (μB).
Atoms (fractional coordinates):
Ba1 0.500 0.500 0.500  -0.03
Co1 0.000 0.000 0.000  0.82
Co2 0.250 0.250 0.250  1.16
W1 0.750 0.750 0.750  -0.26



Entry 20:
This record from Alexandria describes an optimized crystal structure of Ba2CoW. The functional is PBE.

Properties
- Calculated volume: 26.077 A^3/atom
- Total energy: -4.575 eV/atom
- SG: P4/mmm, No. 123
- Distance to the lowest polymorph of the same formula: 3.678 eV/f.u.

Unit cell a=3.209 b=3.209 c=10.130 alpha=90.00 beta=90.00 gamma=90.07
Each line ends with the local moment (μB).
Atoms (fractional coordinates):
Ba1 0.000 0.000 0.015  -0.05
Ba2 0.000 0.000 0.485  -0.05
Co1 0.500 0.500 0.250  1.66
W1 0.500 0.500 0.750  0.13



Entry 21:
This record from Alexandria describes an optimized crystal structure of BaCo2W. The functional is PBE.

Properties
- Calculated volume: 22.078 A^3/atom
- Total energy: -6.266 eV/atom
- SG: I-42d, No. 122
- Distance to the lowest polymorph of the same formula: 2.275 eV/f.u.

Unit cell a=7.188 b=7.188 c=6.125 alpha=54.07 beta=54.07 gamma=90.00
Atoms (fractional coordinates):
Co1 0.712 0.125 0.250
Co2 0.038 0.625 0.250
Co3 0.375 0.288 0.750
Co4 0.875 0.962 0.750
Ba1 0.500 0.500 0.000
Ba2 0.250 0.750 0.500
W1 0.000 0.000 0.000
W2 0.750 0.250 0.500



Entry 22:
This record from Alexandria describes an optimized crystal structure of BaCoW2. The functional is PBE.

Properties
- Calculated volume: 19.377 A^3/atom
- Total energy: -7.677 eV/atom
- SG: Immm, No. 71
- Distance to the lowest polymorph of the same formula: 1.244 eV/f.u.

Unit cell a=6.246 b=6.246 c=6.246 alpha=154.05 beta=133.08 gamma=54.39
Atoms (fractional coordinates):
Ba1 0.250 0.750 0.500
Co1 0.750 0.250 0.500
W1 0.954 0.954 0.000
W2 0.546 0.546 0.000



Entry 23:
This record from Alexandria describes an optimized crystal structure of BaCoW2. The functional is PBE.

Properties
- Calculated volume: 19.383 A^3/atom
- Total energy: -7.293 eV/atom
- SG: C2/m, No. 12
- Distance to the lowest polymorph of the same formula: 2.782 eV/f.u.

Unit cell a=5.991 b=5.991 c=2.882 alpha=80.38 beta=80.38 gamma=126.23
Each line ends with the local moment (μB).
Atoms (fractional coordinates):
Ba1 0.500 0.000 0.500  -0.05
Co1 0.000 0.500 0.500  1.34
W1 0.000 0.000 0.000  0.05
W2 0.500 0.500 0.000  0.05



Entry 24:
This record from Alexandria describes an optimized crystal structure of BaCo2W. The functional is PBE.

Properties
- Calculated volume: 21.592 A^3/atom
- Total energy: -6.185 eV/atom
- SG: Immm, No. 71
- Distance to the lowest polymorph of the same formula: 2.598 eV/f.u.

Unit cell a=5.295 b=5.295 c=5.295 alpha=139.54 beta=112.30 gamma=81.94
Atoms (fractional coordinates):
Ba1 0.250 0.750 0.500
Co1 0.932 0.932 0.000
Co2 0.568 0.568 0.000
W1 0.750 0.250 0.500



Entry 25:
This record from Alexandria describes an optimized crystal structure of Ba2CoW. The functional is PBE.

Properties
- Calculated volume: 28.822 A^3/atom
- Total energy: -5.284 eV/atom
- SG: Pm, No. 6
- Distance to the lowest polymorph of the same formula: 0.842 eV/f.u.

Unit cell a=3.443 b=3.381 c=11.140 alpha=62.75 beta=90.00 gamma=90.00
Atoms (fractional coordinates):
Ba1 0.000 0.920 0.926
Ba2 0.500 0.320 0.331
Co1 0.000 0.423 0.593
W1 0.500 0.837 0.650



Entry 26:
This record from Alexandria describes an optimized crystal structure of BaCo2W. The functional is PBE.

Properties
- Calculated volume: 22.195 A^3/atom
- Total energy: -6.763 eV/atom
- SG: R3m, No. 160
- Distance to the lowest polymorph of the same formula: 0.287 eV/f.u.

Unit cell a=4.151 b=4.151 c=6.415 alpha=71.12 beta=71.12 gamma=59.98
Each line ends with the local moment (μB).
Atoms (fractional coordinates):
Ba1 0.254 0.254 0.240  -0.02
Co1 0.067 0.067 0.798  1.00
Co2 0.739 0.739 0.782  0.91
W1 0.440 0.440 0.680  -0.02



Entry 27:
This record from Alexandria describes an optimized crystal structure of BaCo2W. The functional is PBE.

Properties
- Calculated volume: 17.958 A^3/atom
- Total energy: -5.801 eV/atom
- SG: I-4m2, No. 119
- Distance to the lowest polymorph of the same formula: 4.135 eV/f.u.

Unit cell a=5.706 b=5.706 c=5.706 alpha=141.38 beta=141.38 gamma=55.77
Each line ends with the local moment (μB).
Atoms (fractional coordinates):
Ba1 0.750 0.250 0.500  -0.04
Co1 0.000 0.000 0.000  0.28
Co2 0.250 0.750 0.500  0.90
W1 0.500 0.500 0.000  0.09



Entry 28:
This record from Alexandria describes an optimized crystal structure of Ba2CoW. The functional is PBE.

Properties
- Calculated volume: 29.223 A^3/atom
- Total energy: -4.567 eV/atom
- SG: P4/mmm, No. 123
- Distance to the lowest polymorph of the same formula: 3.712 eV/f.u.

Unit cell a=3.813 b=3.813 c=8.039 alpha=90.00 beta=90.00 gamma=90.00
Each line ends with the local moment (μB).
Atoms (fractional coordinates):
Ba1 0.000 0.000 0.014  -0.01
Ba2 0.000 0.000 0.486  -0.01
Co1 0.500 0.500 0.250  1.72
W1 0.500 0.500 0.750  2.30



Entry 29:
This record from Alexandria describes an optimized crystal structure of BaCoW2. The functional is PBE.

Properties
- Calculated volume: 18.157 A^3/atom
- Total energy: -6.862 eV/atom
- SG: P4/mmm, No. 123
- Distance to the lowest polymorph of the same formula: 4.507 eV/f.u.

Unit cell a=4.762 b=4.762 c=3.202 alpha=90.00 beta=90.00 gamma=90.00
Each line ends with the local moment (μB).
Atoms (fractional coordinates):
Ba1 0.500 0.000 0.500  0.00
Co1 0.000 0.500 0.500  1.25
W1 0.000 0.000 0.000  0.03
W2 0.500 0.500 0.000  0.03



Entry 30:
This record from Alexandria describes an optimized crystal structure of BaCoW2. The functional is PBE.

Properties
- Calculated volume: 20.501 A^3/atom
- Total energy: -7.724 eV/atom
- SG: R3m, No. 160
- Distance to the lowest polymorph of the same formula: 1.057 eV/f.u.

Unit cell a=9.522 b=9.522 c=9.522 alpha=19.25 beta=19.25 gamma=19.25
Each line ends with the local moment (μB).
Atoms (fractional coordinates):
Ba1 0.495 0.495 0.495  0.03
Co1 0.731 0.731 0.731  1.28
W1 0.003 0.003 0.003  0.01
W2 0.271 0.271 0.271  0.00



Calculated ΔH_f (0 K) in order - 0.8364, 0.9426, 0.8535, -0.0199, 0.0810, 1.3429, 0.7534, 2.3975, 0.7164, 0.6768, 2.6688, 0.4816, 0.6980, 1.0825, 0.9128, 1.3524, 1.3933, 1.3661, 1.4488, 1.4010, 1.0061, 1.0564, 1.4410, 1.0868, 0.6920, 0.5091, 1.4711, 1.4096, 1.8722, 1.0097 eV/atom